(1)
Material: KBa4Se
Method: DFT, PBE
State: relaxed

Results
The calculation puts the magnetization at 0.00 μB per formula unit. Its calculated density is 3326 kg/m3. The energy relative to the elements, uncorrected is 0.1333 eV per atom. Its space-group type is F-43m (216). The raw total energy is -1.9122 eV per atom.

The structure in POSCAR format:
```
KBa4Se
1.0
0.000 5.502 5.502
5.502 0.000 5.502
5.502 5.502 0.000
K Ba Se
1 4 1
Cartesian
0.000 0.000 0.000
4.139 4.139 4.139
6.866 6.866 4.139
6.866 4.139 6.866
4.139 6.866 6.866
8.254 8.254 8.254
```



(2)
Material: K2BaSe
Method: DFT, PBE
State: relaxed

Results
The calculation puts the magnetization at 0.07 μB per formula unit. Its calculated density is 2231 kg/m3. The energy relative to the elements, uncorrected is -0.5470 eV per atom. Its space-group type is R-3m (166). The raw total energy is -2.4476 eV per atom.

The structure in POSCAR format:
```
K2BaSe
1.0
2.506 1.447 10.077
-2.506 1.447 10.077
0.000 -2.894 10.077
K Ba Se
2 1 1
Cartesian
0.000 0.000 6.368
0.000 0.000 23.864
0.000 0.000 0.000
0.000 0.000 15.116
```